Below is an optimized crystal structure of ZrOs2W, with properties calculated at the PBE level.

Summary:
Formation enthalpy at 0 K   4.4 kcal/mol of atoms
Spin magnetization   0.0 Bohr magnetons per cell

Geometry as CIF:
```
data_ZrOs2W
_cell_length_a 2.8370
_cell_length_b 2.8370
_cell_length_c 28.2091
_cell_angle_alpha 90.00
_cell_angle_beta 90.00
_cell_angle_gamma 120.00
_symmetry_space_group_name_H-M 'R -3 m'
_symmetry_Int_Tables_number 166
_symmetry_space_group_name_Hall '-R 3 2"'
loop_
_atom_site_label
_atom_site_type_symbol
_atom_site_fract_x
_atom_site_fract_y
_atom_site_fract_z
Zr1 Zr 0.0000 0.0000 0.0000
Os1 Os 0.0000 0.0000 0.2439
W1 W 0.0000 0.0000 0.5000
```